# 1
A relaxed structure of TbTmAu, computed with PBE.

```
3
Lattice="0.000 3.500 3.500 3.500 0.000 3.500 3.500 3.500 0.000" Properties=species:S:1:pos:R:3 pbc="T T T"
Tb 0.000 0.000 0.000
Tm 3.500 3.500 3.500
Au 1.750 1.750 1.750
```

## Properties
Formation energy in eV/atom: -0.459
Crystal system: cubic
Energy above the most stable polymorph in this dataset in meV/atom: 191
Space-group type: F-43m

# 2
A relaxed structure of TbTm2Au6, computed with PBE.

```
9
Lattice="2.613 -8.007 0.000 2.613 8.007 0.000 -2.559 0.000 4.543" Properties=species:S:1:pos:R:3 pbc="T T T"
Tb 0.000 0.000 0.000
Tm 1.333 2.653 2.272
Tm 1.333 -2.653 2.272
Au 1.324 5.332 0.766
Au 1.342 5.332 3.777
Au 0.079 0.000 3.050
Au 2.587 0.000 1.493
Au 1.324 -5.332 0.766
Au 1.342 -5.332 3.777
```

## Properties
Formation energy in eV/atom: -0.805
Crystal system: monoclinic
Space-group type: C2/m

# 3
A relaxed structure of TbTm3Au, computed with PBE.

```
10
Lattice="5.682 -4.182 0.000 5.682 4.182 0.000 -4.429 0.000 6.371" Properties=species:S:1:pos:R:3 pbc="T T T"
Tb -0.303 0.000 1.783
Tb 7.238 0.000 4.587
Tm 2.278 2.501 1.800
Tm 4.658 2.501 4.571
Tm 2.110 0.000 4.373
Tm 4.825 0.000 1.998
Tm 2.278 -2.501 1.800
Tm 4.658 -2.501 4.571
Au 2.345 0.000 0.429
Au 4.591 0.000 5.941
```

## Properties
Formation energy in eV/atom: -0.229
Crystal system: monoclinic
Space-group type: C2/m

# 4
A relaxed structure of Tb3TmAu4, computed with PBE.

```
8
Lattice="3.594 0.000 0.000 0.000 3.594 0.000 0.000 0.000 14.429" Properties=species:S:1:pos:R:3 pbc="T T T"
Tb 0.000 0.000 0.000
Tb 0.000 0.000 3.640
Tb 0.000 0.000 10.789
Tm 0.000 0.000 7.215
Au 1.797 1.797 1.809
Au 1.797 1.797 5.497
Au 1.797 1.797 8.933
Au 1.797 1.797 12.620
```

## Properties
Formation energy in eV/atom: -0.859
Crystal system: tetragonal
Energy above the most stable polymorph in this dataset in meV/atom: 0
Space-group type: P4/mmm

# 5
A relaxed structure of TbTmAu3, computed with PBE.

```
10
Lattice="5.977 0.000 0.000 0.000 4.867 0.000 -1.623 0.000 8.235" Properties=species:S:1:pos:R:3 pbc="T T T"
Tb 0.615 0.000 2.794
Tb 3.738 0.000 5.441
Tm 0.646 2.433 6.604
Tm 3.708 2.433 1.632
Au -0.812 2.433 4.118
Au 0.862 2.433 1.139
Au -0.166 0.000 7.835
Au 2.177 2.433 4.118
Au 4.520 0.000 0.401
Au 3.492 2.433 7.097
```

## Properties
Formation energy in eV/atom: -0.673
Crystal system: monoclinic
Space-group type: P2/m

# 6
A relaxed structure of TbTmZnAu, computed with PBE.

```
4
Lattice="0.000 3.572 3.572 3.572 0.000 3.572 3.572 3.572 0.000" Properties=species:S:1:pos:R:3 pbc="T T T"
Tb 0.000 0.000 0.000
Tm 3.572 3.572 3.572
Zn 5.358 5.358 5.358
Au 1.786 1.786 1.786
```

## Properties
Formation energy in eV/atom: -0.601
Crystal system: cubic
Space-group type: F-43m

# 7
A relaxed structure of Tb2YAu2, computed with PBE.

```
10
Lattice="8.225 0.000 0.000 0.000 8.225 0.000 0.000 0.000 3.786" Properties=species:S:1:pos:R:3 pbc="T T T"
Tb 1.342 2.771 0.000
Tb 2.771 6.883 0.000
Tb 5.454 1.342 0.000
Tb 6.883 5.454 0.000
Y 0.000 0.000 1.893
Y 4.113 4.113 1.893
Au 1.089 5.201 1.893
Au 3.024 1.089 1.893
Au 5.201 7.137 1.893
Au 7.137 3.024 1.893
```

## Properties
Formation energy in eV/atom: -0.702
Crystal system: tetragonal
Space-group type: P4/mbm

# 8
A relaxed structure of TbYAu2, computed with PBE.

```
4
Lattice="4.710 0.000 0.000 0.000 1.864 5.527 0.000 -1.864 5.527" Properties=species:S:1:pos:R:3 pbc="T T T"
Tb 0.000 0.000 0.000
Y 2.355 0.000 7.986
Au 0.000 0.000 3.024
Au 2.355 0.000 4.971
```

## Properties
Formation energy in eV/atom: -0.880
Crystal system: orthorhombic
Energy above the most stable polymorph in this dataset in meV/atom: 0
Space-group type: Amm2